The following is a DFT calculation (PBE-GGA) of an optimized crystal structure of NaPd.

Properties
Its magnetization is 0.0 μB per formula unit. As for the crystal system: orthorhombic. The value obtained for the formation energy is -0.0680 eV/atom.

```
data_NaPd
_chemical_formula_sum 'Na6 Pd6'
_space_group_name_H-M_alt 'P m m n'
_space_group_IT_number 59
_cell_length_a 2.934
_cell_length_b 14.358
_cell_length_c 5.098
_cell_angle_alpha 90.00
_cell_angle_beta 90.00
_cell_angle_gamma 90.00
loop_
_space_group_symop_operation_xyz
'x,y,z'
'-x,-y,-z'
'-x+1/2,-y+1/2,z'
'x+1/2,y+1/2,-z'
'x+1/2,-y,-z'
'-x+1/2,y,z'
'-x,y+1/2,-z'
'x,-y+1/2,z'
loop_
_atom_site_label
_atom_site_type_symbol
_atom_site_fract_x
_atom_site_fract_y
_atom_site_fract_z
Na1 Na 0.250 0.084 0.078
Na2 Na 0.250 0.750 0.755
Pd1 Pd 0.250 0.250 0.722
Pd2 Pd 0.250 0.582 0.419
```